Density functional theory data (PBE-GGA) for an optimized crystal structure of Pr4Sm6Y. Values from VASP.

```
&SYSTEM
  ibrav = 0, nat = 11, ntyp = 3
/
ATOMIC_SPECIES
Sm 150.36 Sm.upf
Pr 140.91 Pr.upf
Y 88.91 Y.upf
CELL_PARAMETERS angstrom
7.726 0.000 0.000
0.000 7.726 0.000
-3.863 -3.863 6.757
ATOMIC_POSITIONS crystal
Sm 0.545 0.545 0.626
Sm 0.500 0.000 0.000
Sm 0.000 0.500 0.000
Sm 0.081 0.081 0.626
Sm 0.919 0.455 0.374
Sm 0.455 0.919 0.374
Pr 0.096 0.747 0.843
Pr 0.747 0.096 0.843
Pr 0.904 0.904 0.157
Pr 0.253 0.253 0.157
Y 0.500 0.500 0.000
```

Values from the calculation:
SG: No. 121
Crystal system: tetragonal
Formation energy, eV/atom: 0.39
E, eV/cell: -49.6

Density functional theory data (PBE-GGA) for an optimized crystal structure of PuThTlSb. Values from VASP.

```
&SYSTEM
  ibrav = 0, nat = 4, ntyp = 4
/
ATOMIC_SPECIES
Tl 204.38 Tl.upf
Pu 244.00 Pu.upf
Th 232.04 Th.upf
Sb 121.76 Sb.upf
CELL_PARAMETERS angstrom
5.437 0.000 0.000
2.718 4.708 0.000
2.718 1.569 4.439
ATOMIC_POSITIONS crystal
Tl 0.000 0.000 0.000
Pu 0.750 0.750 0.750
Th 0.250 0.250 0.250
Sb 0.500 0.500 0.500
```

Values from the calculation:
Formation energy from raw total energies, eV/atom: -0.274
SG: No. 216
Crystal system: cubic
E, eV/cell: -29.3

Density functional theory data (PBE-GGA) for an optimized crystal structure of FeHgBPb2. Values from VASP.

```
&SYSTEM
  ibrav = 0, nat = 5, ntyp = 4
/
ATOMIC_SPECIES
Pb 207.20 Pb.upf
Fe 55.84 Fe.upf
B 10.81 B.upf
Hg 200.59 Hg.upf
CELL_PARAMETERS angstrom
5.050 0.000 0.000
0.000 5.078 0.000
0.000 0.000 5.050
ATOMIC_POSITIONS crystal
Pb 0.500 0.000 0.000
Pb 0.000 0.000 0.500
Fe 0.000 0.000 0.000
B 0.500 0.500 0.500
Hg 0.000 0.500 0.000
```

Values from the calculation:
SG: No. 123
Crystal system: tetragonal
Formation energy, eV/atom: 1.19
E, eV/cell: -16.9

Density functional theory data (PBE-GGA) for an optimized crystal structure of CeLuBe2. Values from VASP.

```
&SYSTEM
  ibrav = 0, nat = 4, ntyp = 3
/
ATOMIC_SPECIES
Ce 140.12 Ce.upf
Be 9.01 Be.upf
Lu 174.97 Lu.upf
CELL_PARAMETERS angstrom
-0.496 0.537 -3.228
1.286 -2.969 -0.692
-6.313 -2.850 0.495
ATOMIC_POSITIONS crystal
Ce 0.500 0.500 0.500
Be 0.000 0.000 0.772
Be 0.000 0.000 0.228
Lu 0.500 0.500 0.000
```

Values from the calculation:
SG: No. 123
Crystal system: tetragonal
Formation energy, eV/atom: 0.14
E, eV/cell: -17.4

Density functional theory data (PBE-GGA) for an optimized crystal structure of Rb2BiMo. Values from VASP.

```
&SYSTEM
  ibrav = 0, nat = 8, ntyp = 3
/
ATOMIC_SPECIES
Mo 95.94 Mo.upf
Rb 85.47 Rb.upf
Bi 208.98 Bi.upf
CELL_PARAMETERS angstrom
-2.254 -12.861 5.474
-0.629 -5.445 -13.053
1.233 -9.598 -3.733
ATOMIC_POSITIONS crystal
Mo 0.250 0.750 0.500
Mo 0.500 0.500 0.000
Rb 0.372 0.625 0.250
Rb 0.378 0.125 0.250
Rb 0.875 0.628 0.750
Rb 0.375 0.622 0.750
Bi 0.750 0.250 0.500
Bi 0.000 0.000 0.000
```

Values from the calculation:
SG: No. 122
Crystal system: tetragonal
Formation energy, eV/atom: 0.74
E, eV/cell: -27.3

Density functional theory data (PBE-GGA) for an optimized crystal structure of Sc2ZnP. Values from VASP.

```
&SYSTEM
  ibrav = 0, nat = 4, ntyp = 3
/
ATOMIC_SPECIES
Sc 44.96 Sc.upf
Zn 65.41 Zn.upf
P 30.97 P.upf
CELL_PARAMETERS angstrom
7.023 -1.860 -0.011
7.023 1.860 -0.011
6.535 0.000 3.173
ATOMIC_POSITIONS crystal
Sc 0.975 0.975 0.975
Sc 0.768 0.768 0.768
Zn 0.522 0.522 0.522
P 0.234 0.234 0.234
```

Values from the calculation:
SG: No. 160
Crystal system: trigonal
Formation energy, eV/atom: -0.34
E, eV/cell: -20.7

Density functional theory data (PBE-GGA) for an optimized crystal structure of CaPdSe3. Values from VASP.

```
&SYSTEM
  ibrav = 0, nat = 5, ntyp = 3
/
ATOMIC_SPECIES
Pd 106.42 Pd.upf
Se 78.96 Se.upf
Ca 40.08 Ca.upf
CELL_PARAMETERS angstrom
5.373 0.000 0.000
0.000 5.373 0.000
0.000 0.000 5.373
ATOMIC_POSITIONS crystal
Pd 0.500 0.500 0.500
Se 0.500 0.000 0.000
Se 0.000 0.000 0.500
Se 0.000 0.500 0.000
Ca 0.000 0.000 0.000
```

Values from the calculation:
Formation energy from raw total energies, eV/atom: 0.407
SG: No. 221
Crystal system: cubic
E, eV/cell: -15.6

Density functional theory data (PBE-GGA) for an optimized crystal structure of TmCoC2. Values from VASP.

```
&SYSTEM
  ibrav = 0, nat = 4, ntyp = 3
/
ATOMIC_SPECIES
C 12.01 C.upf
Tm 168.93 Tm.upf
Co 58.93 Co.upf
CELL_PARAMETERS angstrom
3.727 0.001 0.000
-1.025 3.584 0.000
0.000 0.000 3.494
ATOMIC_POSITIONS crystal
C 0.855 0.452 0.500
C 0.548 0.145 0.500
Tm 0.007 0.993 0.000
Co 0.389 0.611 0.500
```

Values from the calculation:
SG: No. 38
Crystal system: orthorhombic
Formation energy, eV/atom: -0.36
E, eV/cell: -31.5

Density functional theory data (PBE-GGA) for an optimized crystal structure of TaW4Se. Values from VASP.

```
&SYSTEM
  ibrav = 0, nat = 6, ntyp = 3
/
ATOMIC_SPECIES
W 183.84 W.upf
Ta 180.95 Ta.upf
Se 78.96 Se.upf
CELL_PARAMETERS angstrom
0.000 3.762 3.762
3.762 0.000 3.762
3.762 3.762 0.000
ATOMIC_POSITIONS crystal
W 0.375 0.875 0.375
W 0.375 0.375 0.875
W 0.375 0.375 0.375
W 0.875 0.375 0.375
Ta 0.000 0.000 0.000
Se 0.750 0.750 0.750
```

Values from the calculation:
Formation energy from raw total energies, eV/atom: 0.580
SG: No. 216
Crystal system: cubic
E, eV/cell: -63.7

Density functional theory data (PBE-GGA) for an optimized crystal structure of ZrGe3Rh. Values from VASP.

```
&SYSTEM
  ibrav = 0, nat = 5, ntyp = 3
/
ATOMIC_SPECIES
Rh 102.91 Rh.upf
Ge 72.64 Ge.upf
Zr 91.22 Zr.upf
CELL_PARAMETERS angstrom
-1.917 3.335 2.786
-3.100 1.084 -3.432
-3.046 -3.203 1.739
ATOMIC_POSITIONS crystal
Rh 0.000 0.000 0.000
Ge 0.000 0.500 0.000
Ge 0.000 0.000 0.500
Ge 0.500 0.000 0.000
Zr 0.500 0.500 0.500
```

Values from the calculation:
SG: No. 221
Crystal system: cubic
Formation energy, eV/atom: 0.35
E, eV/cell: -28.0

Density functional theory data (PBE-GGA) for an optimized crystal structure of NbMo2Ir. Values from VASP.

```
&SYSTEM
  ibrav = 0, nat = 8, ntyp = 3
/
ATOMIC_SPECIES
Mo 95.94 Mo.upf
Nb 92.91 Nb.upf
Ir 192.22 Ir.upf
CELL_PARAMETERS angstrom
7.340 0.000 0.000
0.000 7.340 0.000
3.670 3.670 2.606
ATOMIC_POSITIONS crystal
Mo 0.375 0.355 0.750
Mo 0.645 0.125 0.250
Mo 0.105 0.625 0.250
Mo 0.875 0.895 0.750
Nb 0.500 0.500 0.000
Nb 0.250 0.750 0.500
Ir 0.750 0.250 0.500
Ir 0.000 0.000 0.000
```

Values from the calculation:
SG: No. 122
Crystal system: tetragonal
Formation energy, eV/atom: 0.50
E, eV/cell: -77.2

Density functional theory data (PBE-GGA) for an optimized crystal structure of LiSi2Ag. Values from VASP.

```
&SYSTEM
  ibrav = 0, nat = 4, ntyp = 3
/
ATOMIC_SPECIES
Si 28.09 Si.upf
Ag 107.87 Ag.upf
Li 6.94 Li.upf
CELL_PARAMETERS angstrom
5.045 0.004 -0.004
-2.193 4.544 -0.004
0.002 0.004 2.684
ATOMIC_POSITIONS crystal
Si 0.000 0.000 0.000
Si 0.500 0.500 0.000
Ag 0.500 0.000 0.500
Li 0.000 0.500 0.500
```

Values from the calculation:
Formation energy from raw total energies, eV/atom: 0.079
SG: No. 65
Crystal system: orthorhombic
E, eV/cell: -15.3

Density functional theory data (PBE-GGA) for an optimized crystal structure of Ac4AgAu. Values from VASP.

```
&SYSTEM
  ibrav = 0, nat = 6, ntyp = 3
/
ATOMIC_SPECIES
Au 196.97 Au.upf
Ac 227.00 Ac.upf
Ag 107.87 Ag.upf
CELL_PARAMETERS angstrom
-1.556 -3.505 -0.900
3.601 -1.597 -0.009
-1.251 -2.898 13.447
ATOMIC_POSITIONS crystal
Au 0.500 0.500 0.500
Ac 0.000 0.000 0.638
Ac 0.000 0.000 0.362
Ac 0.500 0.500 0.856
Ac 0.500 0.500 0.144
Ag 0.000 0.000 0.000
```

Values from the calculation:
SG: No. 123
Crystal system: tetragonal
Formation energy, eV/atom: -0.32
E, eV/cell: -24.5

Density functional theory data (PBE-GGA) for an optimized crystal structure of K3Na2TlBr6. Values from VASP.

```
&SYSTEM
  ibrav = 0, nat = 12, ntyp = 4
/
ATOMIC_SPECIES
Br 79.90 Br.upf
Na 22.99 Na.upf
K 39.10 K.upf
Tl 204.38 Tl.upf
CELL_PARAMETERS angstrom
4.590 0.000 0.000
0.000 9.223 0.359
-2.295 -2.624 9.638
ATOMIC_POSITIONS crystal
Br 0.330 0.895 0.661
Br 0.670 0.105 0.339
Br 0.328 0.429 0.656
Br 0.672 0.571 0.344
Br 0.009 0.260 0.019
Br 0.991 0.740 0.981
Na 0.171 0.341 0.342
Na 0.829 0.659 0.658
K 0.164 0.833 0.328
K 0.500 0.500 0.000
K 0.836 0.167 0.672
Tl 0.500 0.000 0.000
```

Values from the calculation:
Formation energy from raw total energies, eV/atom: -1.521
SG: No. 12
Crystal system: monoclinic
E, eV/cell: -36.6

Density functional theory data (PBE-GGA) for an optimized crystal structure of KBeCu2. Values from VASP.

```
&SYSTEM
  ibrav = 0, nat = 4, ntyp = 3
/
ATOMIC_SPECIES
Cu 63.55 Cu.upf
Be 9.01 Be.upf
K 39.10 K.upf
CELL_PARAMETERS angstrom
7.528 0.014 0.037
-3.295 3.734 -0.043
0.939 0.861 2.363
ATOMIC_POSITIONS crystal
Cu 0.000 0.000 0.000
Cu 0.500 0.000 0.500
Be 0.500 0.500 0.000
K 0.000 0.500 0.500
```

Values from the calculation:
SG: No. 12
Crystal system: monoclinic
Formation energy, eV/atom: 0.85
E, eV/cell: -9.6

Density functional theory data (PBE-GGA) for an optimized crystal structure of CrAuCl2. Values from VASP.

```
&SYSTEM
  ibrav = 0, nat = 4, ntyp = 3
/
ATOMIC_SPECIES
Cl 35.45 Cl.upf
Au 196.97 Au.upf
Cr 52.00 Cr.upf
CELL_PARAMETERS angstrom
6.848 0.041 0.089
6.095 3.122 0.089
4.529 1.107 4.942
ATOMIC_POSITIONS crystal
Cl 0.010 0.010 0.881
Cl 0.863 0.863 0.622
Au 0.184 0.184 0.256
Cr 0.442 0.442 0.741
```

Values from the calculation:
Formation energy from raw total energies, eV/atom: -0.408
SG: No. 8
Crystal system: monoclinic
E, eV/cell: -18.2

Density functional theory data (PBE-GGA) for an optimized crystal structure of La3Pm12Hg. Values from VASP.

```
&SYSTEM
  ibrav = 0, nat = 16, ntyp = 3
/
ATOMIC_SPECIES
Pm 145.00 Pm.upf
La 138.91 La.upf
Hg 200.59 Hg.upf
CELL_PARAMETERS angstrom
-3.475 -3.740 0.025
3.733 -3.467 0.324
-0.892 0.970 20.650
ATOMIC_POSITIONS crystal
Pm 0.000 0.500 0.373
Pm 0.500 0.500 0.000
Pm 0.500 0.000 0.882
Pm 0.500 0.500 0.242
Pm 0.500 0.500 0.758
Pm 0.500 0.000 0.373
Pm 0.500 0.000 0.627
Pm 0.000 0.500 0.627
Pm 0.500 0.000 0.118
Pm 0.000 0.500 0.118
Pm 0.000 0.500 0.882
Pm 0.500 0.500 0.500
La 0.000 0.000 0.500
La 0.000 0.000 0.754
La 0.000 0.000 0.246
Hg 0.000 0.000 0.000
```

Values from the calculation:
SG: No. 123
Crystal system: tetragonal
Formation energy, eV/atom: -0.01
E, eV/cell: -72.3

Density functional theory data (PBE-GGA) for an optimized crystal structure of PaAsPdSe. Values from VASP.

```
&SYSTEM
  ibrav = 0, nat = 8, ntyp = 4
/
ATOMIC_SPECIES
As 74.92 As.upf
Se 78.96 Se.upf
Pd 106.42 Pd.upf
Pa 231.04 Pa.upf
CELL_PARAMETERS angstrom
-4.194 -0.357 -0.503
0.584 -1.186 -4.027
0.415 -8.465 2.554
ATOMIC_POSITIONS crystal
As 0.000 0.500 0.318
As 0.500 0.000 0.682
Se 0.000 0.000 0.000
Se 0.500 0.500 0.000
Pd 0.000 0.000 0.500
Pd 0.500 0.500 0.500
Pa 0.500 0.000 0.228
Pa 0.000 0.500 0.772
```

Values from the calculation:
Formation energy from raw total energies, eV/atom: -0.949
SG: No. 129
Crystal system: tetragonal
E, eV/cell: -53.2

Density functional theory data (PBE-GGA) for an optimized crystal structure of HgB2TeH. Values from VASP.

```
&SYSTEM
  ibrav = 0, nat = 5, ntyp = 4
/
ATOMIC_SPECIES
H 1.01 H.upf
B 10.81 B.upf
Hg 200.59 Hg.upf
Te 127.60 Te.upf
CELL_PARAMETERS angstrom
4.504 0.000 0.000
0.000 3.756 0.000
0.000 0.000 4.504
ATOMIC_POSITIONS crystal
H 0.000 0.000 0.000
B 0.000 0.000 0.500
B 0.500 0.000 0.000
Hg 0.000 0.500 0.000
Te 0.500 0.500 0.500
```

Values from the calculation:
SG: No. 123
Crystal system: tetragonal
E, eV/cell: -11.8

Density functional theory data (PBE-GGA) for an optimized crystal structure of SrZn2Co2. Values from VASP.

```
&SYSTEM
  ibrav = 0, nat = 10, ntyp = 3
/
ATOMIC_SPECIES
Sr 87.62 Sr.upf
Zn 65.41 Zn.upf
Co 58.93 Co.upf
CELL_PARAMETERS angstrom
-5.488 4.050 -3.370
-4.927 -2.219 5.356
0.680 2.202 1.538
ATOMIC_POSITIONS crystal
Sr 0.500 0.500 0.000
Sr 0.000 0.000 0.000
Zn 0.123 0.377 0.000
Zn 0.877 0.623 0.000
Zn 0.377 0.877 0.000
Zn 0.623 0.123 0.000
Co 0.168 0.668 0.500
Co 0.668 0.832 0.500
Co 0.332 0.168 0.500
Co 0.832 0.332 0.500
```

Values from the calculation:
SG: No. 127
Crystal system: tetragonal
Formation energy, eV/atom: 0.27
E, eV/cell: -34.2

Density functional theory data (PBE-GGA) for an optimized crystal structure of VIr3Rh6. Values from VASP.

```
&SYSTEM
  ibrav = 0, nat = 10, ntyp = 3
/
ATOMIC_SPECIES
Ir 192.22 Ir.upf
Rh 102.91 Rh.upf
V 50.94 V.upf
CELL_PARAMETERS angstrom
5.010 0.000 0.000
-2.505 4.339 0.000
0.000 0.000 6.822
ATOMIC_POSITIONS crystal
Ir 0.000 0.000 0.500
Ir 0.333 0.667 0.500
Ir 0.667 0.333 0.500
Rh 0.396 0.000 0.814
Rh 0.000 0.396 0.814
Rh 0.604 0.604 0.814
Rh 0.396 0.396 0.186
Rh 0.000 0.604 0.186
Rh 0.604 0.000 0.186
V 0.000 0.000 0.000
```

Values from the calculation:
SG: No. 162
Crystal system: trigonal
Formation energy, eV/atom: 0.15
E, eV/cell: -78.3

Density functional theory data (PBE-GGA) for an optimized crystal structure of Nd3Sm5Sc. Values from VASP.

```
&SYSTEM
  ibrav = 0, nat = 18, ntyp = 3
/
ATOMIC_SPECIES
Nd 144.24 Nd.upf
Sc 44.96 Sc.upf
Sm 150.36 Sm.upf
CELL_PARAMETERS angstrom
-6.606 0.435 -2.156
-2.581 -6.464 -0.188
-8.654 -1.691 11.766
ATOMIC_POSITIONS crystal
Nd 0.354 0.354 0.256
Nd 0.891 0.891 0.254
Nd 0.000 0.000 0.500
Nd 0.109 0.109 0.746
Nd 0.646 0.646 0.744
Nd 0.000 0.000 0.000
Sc 0.811 0.811 0.880
Sc 0.189 0.189 0.120
Sm 0.301 0.301 0.501
Sm 0.305 0.305 0.884
Sm 0.792 0.369 0.337
Sm 0.369 0.792 0.337
Sm 0.208 0.631 0.663
Sm 0.674 0.326 0.000
Sm 0.695 0.695 0.116
Sm 0.326 0.674 0.000
Sm 0.631 0.208 0.663
Sm 0.699 0.699 0.499
```

Values from the calculation:
SG: No. 12
Crystal system: monoclinic
Formation energy, eV/atom: 0.33
E, eV/cell: -82.6